Below is AlCu2Ni at its PBEsol-relaxed geometry, with properties calculated at the SCAN level.

Unit cell a=2.6889 b=8.3122 c=4.1502 alpha=90.00 beta=90.00 gamma=90.00
Closest atoms and distances in Å follow each position.
Space group Imm2 (No. 44)
Asymmetric unit:
Al: 0.0000 0.0000 0.0000 x2  4 Ni 2.45-2.49, 6 Cu 2.54-2.60, 2 Al 2.69
Cu: 0.0000 0.2479 0.3837 x4  6 Cu 2.47-2.69, 3 Ni 2.51-2.62, 3 Al 2.54-2.60
Ni: 0.0000 0.5000 0.0052 x2  4 Al 2.45-2.49, 6 Cu 2.51-2.62, 2 Ni 2.69

Total magnetization: 0.0 μB per formula unit
Calculated total energy: -110.99 eV for the cell shown

Below is MoRuPt3 at its PBEsol-relaxed geometry, with properties calculated at the SCAN level.

Unit cell a=4.6773 b=4.6773 c=4.6773 alpha=90.00 beta=90.00 gamma=90.00
Closest atoms and distances in Å follow each position.
Space group Pm-3m (No. 221)
Asymmetric unit:
Mo: 0.0000 0.0000 0.0000 x1  6 Pt 2.34
Ru: 0.5000 0.5000 0.5000 x1  12 Pt 3.31
Pt: 0.0000 0.0000 0.5000 x3  2 Mo 2.34

Total magnetization: 2.8 μB per formula unit
Calculated total energy: -272.40 eV for the cell shown

Below is Li2LaZrNb at its PBEsol-relaxed geometry, with properties calculated at the SCAN level.

Unit cell a=5.0724 b=5.0724 c=4.8199 alpha=90.00 beta=90.00 gamma=90.00
Closest atoms and distances in Å follow each position.
Space group P4/mmm (No. 123)
Asymmetric unit:
Li: 0.0000 0.5000 0.0000 x2  2 Zr 2.54
La: 0.0000 0.0000 0.5000 x1  8 Li 3.50, 4 Nb 3.59
Zr: 0.5000 0.5000 0.0000 x1  2 Nb 2.41, 4 Li 2.54
Nb: 0.5000 0.5000 0.5000 x1  2 Zr 2.41

Total magnetization: 0.0 μB per formula unit
Calculated total energy: -107.78 eV for the cell shown